The following is a DFT calculation (PBE-GGA) of crystalline BeTeIrAu at its relaxed geometry.

Results
Its uncorrected energy is -4.26 eV per atom. The value obtained for the offset from the most stable computed form is 0.00 eV/f.u.

Structure (CIF):
```
data_BeTeIrAu
_space_group_name_H-M_alt 'F -4 3 m'
_space_group_IT_number 216
_space_group_name_Hall 'F -4 2 3'
_cell_length_a 6.460
_cell_length_b 6.460
_cell_length_c 6.460
_cell_angle_alpha 90.00
_cell_angle_beta 90.00
_cell_angle_gamma 90.00
loop_
_atom_site_label
_atom_site_type_symbol
_atom_site_fract_x
_atom_site_fract_y
_atom_site_fract_z
Be1 Be 0.000 0.000 0.000
Te1 Te 0.000 0.000 0.500
Ir1 Ir 0.250 0.250 0.750
Au1 Au 0.250 0.250 0.250
```

***

The following is a DFT calculation (PBE-GGA) of crystalline Zn2W at its relaxed geometry.

Results
Its uncorrected energy is -4.95 eV per atom. The value obtained for the offset from the most stable computed form is 0.22 eV/f.u.

Structure (CIF):
```
data_Zn2W
_space_group_name_H-M_alt 'P 1 21/m 1'
_space_group_IT_number 11
_space_group_name_Hall '-P 2yb'
_cell_length_a 8.007
_cell_length_b 4.340
_cell_length_c 10.850
_cell_angle_alpha 90.00
_cell_angle_beta 108.04
_cell_angle_gamma 90.00
loop_
_atom_site_label
_atom_site_type_symbol
_atom_site_fract_x
_atom_site_fract_y
_atom_site_fract_z
Zn1 Zn 0.051 0.250 0.462
Zn2 Zn 0.077 0.250 0.970
Zn3 Zn 0.265 0.750 0.933
Zn4 Zn 0.280 0.750 0.699
Zn5 Zn 0.392 0.250 0.110
Zn6 Zn 0.392 0.250 0.611
Zn7 Zn 0.425 0.250 0.372
Zn8 Zn 0.431 0.250 0.862
W1 W 0.077 0.250 0.719
W2 W 0.081 0.250 0.222
W3 W 0.248 0.750 0.427
W4 W 0.253 0.750 0.197
```